The following is a DFT calculation (PBE) of crystalline BaLi4Pd3F12 at its relaxed geometry.

Cell: 7.8709 7.8709 7.8709 Å, 90.00 90.00 90.00°
Last column: nearest neighbours and their distance in Å.
Space group Im-3 (No. 204)
Symmetry-distinct sites (fractional):
Ba 0.0000 0.0000 0.0000  12 F 2.78
Li 0.2500 0.2500 0.2500  6 F 2.11
Pd 0.0000 0.0000 0.5000  4 F 2.03
F 0.0000 0.3080 0.1726  1 Pd 2.03, 2 Li 2.11

Properties
- energy (eV per cell) = -186.71
- volume (Å³ per cell) = 488
- ΔE_f (raw) (eV per formula unit) = -45.745

=====

The following is a DFT calculation (PBE) of crystalline Rb2MnHBr6 at its relaxed geometry.

Cell: 7.3037 7.3037 10.9326 Å, 90.00 90.00 90.00°
Last column: nearest neighbours and their distance in Å.
Space group I4/mmm (No. 139)
Symmetry-distinct sites (fractional):
Rb 0.0000 0.5000 0.2500  12 Br 3.66-3.76
Mn 0.0000 0.0000 0.0000  6 Br 2.48-2.51
H 0.0000 0.0000 0.5000  4 Br 2.66
Br 0.0000 0.0000 0.2265  1 Mn 2.48
Br 0.2427 0.2427 0.0000  1 Mn 2.51, 1 H 2.66

Properties
- energy (eV per cell) = -65.39
- volume (Å³ per cell) = 583

=====

The following is a DFT calculation (PBE) of crystalline CsBaNi2Hg at its relaxed geometry.

Cell: 5.1681 5.1681 5.9713 Å, 90.00 90.00 90.00°
Last column: nearest neighbours and their distance in Å.
Space group P4/mmm (No. 123)
Symmetry-distinct sites (fractional):
Cs 0.0000 0.0000 0.0000  2 Hg 2.99
Ba 0.5000 0.5000 0.0000  4 Cs 3.65, 8 Ni 3.95
Ni 0.0000 0.5000 0.5000  2 Hg 2.58
Hg 0.0000 0.0000 0.5000  4 Ni 2.58

Properties
- energy (eV per cell) = -10.99
- volume (Å³ per cell) = 159
- formation enthalpy at 0 K (meV per atom) = 729

=====

The following is a DFT calculation (PBE) of crystalline Tb2GdSn at its relaxed geometry.

Cell: 7.6675 7.6675 7.6675 Å, 90.00 90.00 90.00°
Last column: nearest neighbours and their distance in Å.
Space group Fm-3m (No. 225)
Symmetry-distinct sites (fractional):
Tb 0.2500 0.2500 0.2500  4 Sn 3.32, 4 Gd 3.32
Gd 0.0000 0.0000 0.0000  8 Tb 3.32
Sn 0.0000 0.0000 0.5000  8 Tb 3.32

Properties
- energy (eV per cell) = -113.68
- volume (Å³ per cell) = 451
- formation enthalpy at 0 K (meV per atom) = -269

=====

The following is a DFT calculation (PBE) of crystalline TmIBr2 at its relaxed geometry.

Cell: 8.1767 12.1030 7.3834 Å, 90.00 118.64 90.00°
Last column: nearest neighbours and their distance in Å.
Space group Cc (No. 9)
Symmetry-distinct sites (fractional):
Tm 0.0000 0.0897 0.0000  4 Br 2.77-2.79, 2 I 3.00
I 0.2666 0.4094 0.7127  2 Tm 3.00
Br 0.2085 0.0670 0.7944  2 Tm 2.77-2.79
Br 0.2585 0.2504 0.2368  2 Tm 2.78-2.79

Properties
- energy (eV per cell) = -64.07
- volume (Å³ per cell) = 641
- ΔE_f (raw) (eV per formula unit) = -6.650

=====

The following is a DFT calculation (PBE) of crystalline Ac9Pr2Tm at its relaxed geometry.

Cell: 5.5144 5.5144 16.5879 Å, 90.00 90.00 90.00°
Last column: nearest neighbours and their distance in Å.
Space group P4/mmm (No. 123)
Symmetry-distinct sites (fractional):
Ac 0.0000 0.0000 0.0000  8 Ac 3.88, 4 Tm 3.90
Ac 0.0000 0.0000 0.3321  4 Pr 3.90, 8 Ac 3.92
Ac 0.0000 0.5000 0.1641  8 Ac 3.88-3.92, 2 Tm 3.88, 2 Pr 3.92
Ac 0.0000 0.5000 0.5000  8 Ac 3.90-3.92, 4 Pr 3.92
Pr 0.5000 0.5000 0.3318  12 Ac 3.90-3.92
Tm 0.5000 0.5000 0.0000  12 Ac 3.88-3.90

Properties
- energy (eV per cell) = -50.69
- volume (Å³ per cell) = 504
- formation enthalpy at 0 K (meV per atom) = 26

=====

The following is a DFT calculation (PBE) of crystalline Ba2SrPbN at its relaxed geometry.

Cell: 5.6224 5.6224 5.3033 Å, 90.00 90.00 90.00°
Last column: nearest neighbours and their distance in Å.
Space group P4/mmm (No. 123)
Symmetry-distinct sites (fractional):
Ba 0.0000 0.5000 0.0000  2 N 2.81
Sr 0.0000 0.0000 0.5000  2 N 2.65
Pb 0.5000 0.5000 0.5000  8 Ba 3.86, 4 Sr 3.98
N 0.0000 0.0000 0.0000  2 Sr 2.65, 4 Ba 2.81

Properties
- energy (eV per cell) = -20.04
- volume (Å³ per cell) = 168
- ΔE_f (raw) (eV per formula unit) = -2.478

=====

The following is a DFT calculation (PBE) of crystalline DyHo2Pb at its relaxed geometry.

Cell: 3.5194 3.5194 35.9020 Å, 90.00 90.00 120.00°
Last column: nearest neighbours and their distance in Å.
Space group R-3m (No. 166, hexagonal axes)
Symmetry-distinct sites (fractional):
Dy 0.0000 0.0000 0.0000  6 Ho 3.48, 6 Dy 3.52
Ho 0.0000 0.0000 0.4119  1 Pb 3.16, 3 Dy 3.48, 6 Ho 3.52
Pb 0.0000 0.0000 0.5000  2 Ho 3.16, 6 Pb 3.52

Properties
- energy (eV per cell) = -51.83
- volume (Å³ per cell) = 385
- formation enthalpy at 0 K (meV per atom) = 47

=====

The following is a DFT calculation (PBE) of crystalline LaMn3Te at its relaxed geometry.

Cell: 4.6156 4.6156 4.6156 Å, 90.00 90.00 90.00°
Last column: nearest neighbours and their distance in Å.
Space group Pm-3m (No. 221)
Symmetry-distinct sites (fractional):
La 0.0000 0.0000 0.0000  6 Mn 2.31
Mn 0.0000 0.0000 0.5000  2 La 2.31
Te 0.5000 0.5000 0.5000  12 Mn 3.26

Properties
- energy (eV per cell) = -26.08
- volume (Å³ per cell) = 98
- ΔE_f (raw) (eV per formula unit) = 9.498

=====

The following is a DFT calculation (PBE) of crystalline PuNbRu2 at its relaxed geometry.

Cell: 3.0848 3.0848 25.9680 Å, 90.00 90.00 120.00°
Last column: nearest neighbours and their distance in Å.
Space group R-3m (No. 166, hexagonal axes)
Symmetry-distinct sites (fractional):
Pu 0.0000 0.0000 0.0000  6 Ru 2.94, 6 Pu 3.08
Nb 0.0000 0.0000 0.5000  6 Ru 2.67
Ru 0.0000 0.0000 0.2431  3 Nb 2.67, 3 Pu 2.94

Properties
- energy (eV per cell) = -127.38
- volume (Å³ per cell) = 214
- formation enthalpy at 0 K (meV per atom) = 124

=====

The following is a DFT calculation (PBE) of crystalline KIrRu at its relaxed geometry.

Cell: 5.0372 4.4316 6.5240 Å, 90.00 110.46 90.00°
Last column: nearest neighbours and their distance in Å.
Space group Pm (No. 6)
Symmetry-distinct sites (fractional):
K 0.0000 0.0000 0.0000  4 K 3.21-3.51, 4 Ir 3.36-3.60, 4 Ru 3.44-3.58
K 0.4695 0.5000 0.0187  4 K 3.21-3.51, 2 Ru 3.31-3.41, 4 Ir 3.44-3.55
Ir 0.0986 0.5000 0.4549  4 Ru 2.57-2.61, 2 Ir 2.62
Ir 0.8212 0.0000 0.4533  4 Ru 2.57-2.61, 2 Ir 2.62
Ru 0.3709 0.0000 0.5544  4 Ir 2.57-2.61, 2 Ru 2.60
Ru 0.6428 0.5000 0.5575  4 Ir 2.57-2.61, 2 Ru 2.60

Properties
- energy (eV per cell) = -35.47
- volume (Å³ per cell) = 136
- formation enthalpy at 0 K (meV per atom) = 500

=====

The following is a DFT calculation (PBE) of crystalline Pm2DyYHo6 at its relaxed geometry.

Cell: 8.9898 15.0629 9.6420 Å, 90.00 98.67 90.00°
Last column: nearest neighbours and their distance in Å.
Space group C2/c (No. 15)
Symmetry-distinct sites (fractional):
Pm 0.2469 0.0534 0.0425  6 Ho 3.25-3.63, 2 Y 3.36-3.38, 1 Dy 3.56
Dy 0.0000 0.4073 0.2500  8 Ho 3.42-3.76, 2 Pm 3.56
Y 0.0000 0.0190 0.7500  4 Pm 3.36-3.38, 4 Ho 3.58-3.66
Ho 0.0639 0.1905 0.4431  7 Ho 3.39-3.73, 1 Pm 3.49, 1 Y 3.66, 1 Dy 3.76
Ho 0.1042 0.3948 0.6196  4 Ho 3.22-3.51, 3 Pm 3.25-3.42, 2 Dy 3.42-3.55
Ho 0.2012 0.2240 0.8133  2 Ho 3.22-3.55, 1 Pm 3.37, 1 Dy 3.46, 1 Y 3.58

Properties
- energy (eV per cell) = -187.51
- volume (Å³ per cell) = 1291
- formation enthalpy at 0 K (meV per atom) = 116

=====

Among the records above, which one has the lowest volume? LaMn3Te

=====

Number 6 is which compound? Ac9Pr2Tm

=====

The lowest energy belongs to which entry? Pm2DyYHo6

=====

Which of these has the highest volume? Pm2DyYHo6